# 1
# SrAsRh2 PBE-GGA relaxed
data_SrAsRh2
_symmetry_space_group_name_H-M 'P 4 m m'
_symmetry_Int_Tables_number 99
_cell_length_a 3.424
_cell_length_b 3.424
_cell_length_c 6.670
_cell_angle_alpha 90.00
_cell_angle_beta 90.00
_cell_angle_gamma 90.00
loop_
_symmetry_equiv_pos_as_xyz
'x,y,z'
'-y,x,z'
'-x,-y,z'
'y,-x,z'
'-x,y,z'
'y,x,z'
'x,-y,z'
'-y,-x,z'
loop_
_atom_site_label
_atom_site_type_symbol
_atom_site_fract_x
_atom_site_fract_y
_atom_site_fract_z
Sr1 Sr 0.000 0.000 0.000
As1 As 0.500 0.500 0.343
Rh1 Rh 0.000 0.000 0.479
Rh2 Rh 0.500 0.500 0.711
# Formation enthalpy at 0 K in eV per atom: -0.21
# Volume in A^3/atom: 19.6

***

# 2
# SrAsRh2 PBE-GGA relaxed
data_SrAsRh2
_symmetry_space_group_name_H-M 'I -4 m 2'
_symmetry_Int_Tables_number 119
_symmetry_space_group_name_Hall 'I -4 -2'
_cell_length_a 4.027
_cell_length_b 4.027
_cell_length_c 9.097
_cell_angle_alpha 90.00
_cell_angle_beta 90.00
_cell_angle_gamma 90.00
loop_
_atom_site_label
_atom_site_type_symbol
_atom_site_fract_x
_atom_site_fract_y
_atom_site_fract_z
Sr1 Sr 0.000 0.000 0.000
As1 As 0.000 0.500 0.750
Rh1 Rh 0.000 0.000 0.500
Rh2 Rh 0.000 0.500 0.250
# Formation enthalpy at 0 K in eV per atom: -0.07
# Volume in A^3/atom: 18.4

***

# 3
# SrAs2Rh PBE-GGA relaxed
data_SrAs2Rh
_symmetry_space_group_name_H-M 'F m -3 m'
_symmetry_Int_Tables_number 225
_symmetry_space_group_name_Hall '-F 4 2 3'
_cell_length_a 6.870
_cell_length_b 6.870
_cell_length_c 6.870
_cell_angle_alpha 90.00
_cell_angle_beta 90.00
_cell_angle_gamma 90.00
loop_
_atom_site_label
_atom_site_type_symbol
_atom_site_fract_x
_atom_site_fract_y
_atom_site_fract_z
Sr1 Sr 0.000 0.000 0.000
As1 As 0.250 0.250 0.250
Rh1 Rh 0.000 0.000 0.500
# Formation enthalpy at 0 K in eV per atom: -0.28
# Volume in A^3/atom: 20.3

***

# 4
# SrAsRh2 PBE-GGA relaxed
data_SrAsRh2
_symmetry_space_group_name_H-M 'P 1 2/m 1'
_symmetry_Int_Tables_number 10
_cell_length_a 3.199
_cell_length_b 3.748
_cell_length_c 6.858
_cell_angle_alpha 90.00
_cell_angle_beta 101.88
_cell_angle_gamma 90.00
loop_
_symmetry_equiv_pos_as_xyz
'x,y,z'
'-x,-y,-z'
'-x,y,-z'
'x,-y,z'
loop_
_atom_site_label
_atom_site_type_symbol
_atom_site_fract_x
_atom_site_fract_y
_atom_site_fract_z
Sr1 Sr 0.000 0.000 0.000
As1 As 0.000 0.000 0.500
Rh1 Rh 0.361 0.500 0.681
# Formation enthalpy at 0 K in eV per atom: -0.19
# Volume in A^3/atom: 20.1

***

# 5
# SrAs3Rh PBE-GGA relaxed
data_SrAs3Rh
_symmetry_space_group_name_H-M 'P m -3 m'
_symmetry_Int_Tables_number 221
_symmetry_space_group_name_Hall '-P 4 2 3'
_cell_length_a 5.481
_cell_length_b 5.481
_cell_length_c 5.481
_cell_angle_alpha 90.00
_cell_angle_beta 90.00
_cell_angle_gamma 90.00
loop_
_atom_site_label
_atom_site_type_symbol
_atom_site_fract_x
_atom_site_fract_y
_atom_site_fract_z
Sr1 Sr 0.000 0.000 0.000
As1 As 0.000 0.000 0.500
Rh1 Rh 0.500 0.500 0.500
# Formation enthalpy at 0 K in eV per atom: 1.56
# Volume in A^3/atom: 32.9
# Offset from the most stable computed form in eV/f.u.: 8.71

***

# 6
# SrAs2Rh PBE-GGA relaxed
data_SrAs2Rh
_symmetry_space_group_name_H-M 'P 1 2/m 1'
_symmetry_Int_Tables_number 10
_cell_length_a 4.789
_cell_length_b 4.141
_cell_length_c 4.830
_cell_angle_alpha 90.00
_cell_angle_beta 100.55
_cell_angle_gamma 90.00
loop_
_symmetry_equiv_pos_as_xyz
'x,y,z'
'-x,-y,-z'
'-x,y,-z'
'x,-y,z'
loop_
_atom_site_label
_atom_site_type_symbol
_atom_site_fract_x
_atom_site_fract_y
_atom_site_fract_z
Sr1 Sr 0.000 0.000 0.000
As1 As 0.263 0.500 0.620
Rh1 Rh 0.500 0.000 0.500
# Formation enthalpy at 0 K in eV per atom: -0.68
# Volume in A^3/atom: 23.5

***

# 7
# Sr4AsRh PBE-GGA relaxed
data_Sr4AsRh
_symmetry_space_group_name_H-M 'F -4 3 m'
_symmetry_Int_Tables_number 216
_symmetry_space_group_name_Hall 'F -4 2 3'
_cell_length_a 9.189
_cell_length_b 9.189
_cell_length_c 9.189
_cell_angle_alpha 90.00
_cell_angle_beta 90.00
_cell_angle_gamma 90.00
loop_
_atom_site_label
_atom_site_type_symbol
_atom_site_fract_x
_atom_site_fract_y
_atom_site_fract_z
Sr1 Sr 0.125 0.125 0.125
As1 As 0.250 0.250 0.750
Rh1 Rh 0.000 0.000 0.500
# Formation enthalpy at 0 K in eV per atom: 0.62
# Volume in A^3/atom: 32.3

***

# 8
# SrAs2Rh PBE-GGA relaxed
data_SrAs2Rh
_symmetry_space_group_name_H-M 'P 1 m 1'
_symmetry_Int_Tables_number 6
_cell_length_a 4.529
_cell_length_b 4.368
_cell_length_c 5.153
_cell_angle_alpha 90.00
_cell_angle_beta 101.73
_cell_angle_gamma 90.00
loop_
_symmetry_equiv_pos_as_xyz
'x,y,z'
'x,-y,z'
loop_
_atom_site_label
_atom_site_type_symbol
_atom_site_fract_x
_atom_site_fract_y
_atom_site_fract_z
Sr1 Sr 0.000 0.000 0.000
As1 As 0.345 0.500 0.671
As2 As 0.590 0.000 0.418
Rh1 Rh 0.827 0.500 0.477
# Formation enthalpy at 0 K in eV per atom: -0.52
# Volume in A^3/atom: 24.9

***

# 9
# Sr2As2Rh3 PBE-GGA relaxed
data_Sr2As2Rh3
_symmetry_space_group_name_H-M 'C 1 2/m 1'
_symmetry_Int_Tables_number 12
_cell_length_a 11.309
_cell_length_b 3.955
_cell_length_c 7.323
_cell_angle_alpha 90.00
_cell_angle_beta 115.12
_cell_angle_gamma 90.00
loop_
_symmetry_equiv_pos_as_xyz
'x,y,z'
'-x,-y,-z'
'-x,y,-z'
'x,-y,z'
'x+1/2,y+1/2,z'
'-x+1/2,-y+1/2,-z'
'-x+1/2,y+1/2,-z'
'x+1/2,-y+1/2,z'
loop_
_atom_site_label
_atom_site_type_symbol
_atom_site_fract_x
_atom_site_fract_y
_atom_site_fract_z
Sr1 Sr 0.125 0.000 0.262
As1 As 0.147 0.000 0.722
Rh1 Rh 0.000 0.500 0.500
Rh2 Rh 0.155 0.500 0.921
# Formation enthalpy at 0 K in eV per atom: -0.66
# Volume in A^3/atom: 21.2

***

# 10
# Sr6As19Rh30 PBE-GGA relaxed
data_Sr6As19Rh30
_symmetry_space_group_name_H-M 'P 3'
_symmetry_Int_Tables_number 143
_cell_length_a 16.3340
_cell_length_b 16.3340
_cell_length_c 3.9643
_cell_angle_alpha 90.00
_cell_angle_beta 90.00
_cell_angle_gamma 120.00
loop_
_symmetry_equiv_pos_as_xyz
'x,y,z'
'-y,x-y,z'
'-x+y,-x,z'
loop_
_atom_site_label
_atom_site_type_symbol
_atom_site_fract_x
_atom_site_fract_y
_atom_site_fract_z
Sr1 Sr 0.0367 0.2732 0.0000
Sr2 Sr 0.4301 0.3700 0.4998
As1 As 0.0158 0.1162 0.4992
As2 As 0.0781 0.5497 0.9990
As3 As 0.1952 0.4115 0.5007
As4 As 0.2703 0.2332 0.9993
As5 As 0.3333 0.6667 0.2474
As6 As 0.3964 0.1001 0.5006
As7 As 0.5663 0.3491 0.0007
Rh1 Rh 0.0579 0.4412 0.5015
Rh2 Rh 0.0698 0.8190 0.4985
Rh3 Rh 0.1081 0.0935 0.9985
Rh4 Rh 0.1078 0.7165 0.9982
Rh5 Rh 0.1843 0.6420 0.5008
Rh6 Rh 0.2088 0.5174 0.9987
Rh7 Rh 0.2597 0.1303 0.4996
Rh8 Rh 0.4070 0.2030 0.0003
Rh9 Rh 0.4857 0.0826 0.0014
Rh10 Rh 0.5585 0.2398 0.5015
# Formation enthalpy at 0 K in eV per atom: -0.67
# Volume in A^3/atom: 16.7

***

# 11
# SrAs2Rh PBE-GGA relaxed
data_SrAs2Rh
_symmetry_space_group_name_H-M 'C 1 2 1'
_symmetry_Int_Tables_number 5
_cell_length_a 6.087
_cell_length_b 6.089
_cell_length_c 5.828
_cell_angle_alpha 90.00
_cell_angle_beta 121.37
_cell_angle_gamma 90.00
loop_
_symmetry_equiv_pos_as_xyz
'x,y,z'
'-x,y,-z'
'x+1/2,y+1/2,z'
'-x+1/2,y+1/2,-z'
loop_
_atom_site_label
_atom_site_type_symbol
_atom_site_fract_x
_atom_site_fract_y
_atom_site_fract_z
Sr1 Sr 0.000 0.000 0.000
As1 As 0.133 0.500 0.262
Rh1 Rh 0.000 0.748 0.500
# Formation enthalpy at 0 K in eV per atom: -0.68
# Volume in A^3/atom: 23.1

***

# 12
# Sr3As5Rh6 PBE-GGA relaxed
data_Sr3As5Rh6
_symmetry_space_group_name_H-M 'P m m n'
_symmetry_Int_Tables_number 59
_cell_length_a 4.068
_cell_length_b 12.787
_cell_length_c 10.450
_cell_angle_alpha 90.00
_cell_angle_beta 90.00
_cell_angle_gamma 90.00
loop_
_symmetry_equiv_pos_as_xyz
'x,y,z'
'-x,-y,-z'
'-x+1/2,-y+1/2,z'
'x+1/2,y+1/2,-z'
'x+1/2,-y,-z'
'-x+1/2,y,z'
'-x,y+1/2,-z'
'x,-y+1/2,z'
loop_
_atom_site_label
_atom_site_type_symbol
_atom_site_fract_x
_atom_site_fract_y
_atom_site_fract_z
Sr1 Sr 0.250 0.098 0.247
Sr2 Sr 0.250 0.750 0.242
As1 As 0.250 0.073 0.651
As2 As 0.250 0.629 0.988
As3 As 0.250 0.750 0.608
Rh1 Rh 0.250 0.048 0.906
Rh2 Rh 0.250 0.250 0.003
Rh3 Rh 0.250 0.250 0.521
Rh4 Rh 0.250 0.581 0.490
# Formation enthalpy at 0 K in eV per atom: -0.77
# Volume in A^3/atom: 19.4

***

# 13
# SrAs2Rh PBE-GGA relaxed
data_SrAs2Rh
_symmetry_space_group_name_H-M 'I 41/a m d'
_symmetry_Int_Tables_number 141
_cell_length_a 4.221
_cell_length_b 4.221
_cell_length_c 39.486
_cell_angle_alpha 90.00
_cell_angle_beta 90.00
_cell_angle_gamma 90.00
loop_
_symmetry_equiv_pos_as_xyz
'x,y,z'
'-x,-y,-z'
'-y+1/4,x+3/4,z+1/4'
'y+1/4,-x+3/4,-z+1/4'
'-x+1/2,-y,z+1/2'
'x+1/2,y,-z+1/2'
'y+1/4,-x+1/4,z+3/4'
'-y+1/4,x+1/4,-z+3/4'
'x,-y,-z'
'-x,y,z'
'-y+1/4,-x+1/4,-z+3/4'
'y+1/4,x+1/4,z+3/4'
'-x+1/2,y,-z+1/2'
'x+1/2,-y,z+1/2'
'y+1/4,x+3/4,-z+1/4'
'-y+1/4,-x+3/4,z+1/4'
'x+1/2,y+1/2,z+1/2'
'-x+1/2,-y+1/2,-z+1/2'
'-y+3/4,x+1/4,z+3/4'
'y+3/4,-x+1/4,-z+3/4'
'-x,-y+1/2,z'
'x,y+1/2,-z'
'y+3/4,-x+3/4,z+1/4'
'-y+3/4,x+3/4,-z+1/4'
'x+1/2,-y+1/2,-z+1/2'
'-x+1/2,y+1/2,z+1/2'
'-y+3/4,-x+3/4,-z+1/4'
'y+3/4,x+3/4,z+1/4'
'-x,y+1/2,-z'
'x,-y+1/2,z'
'y+3/4,x+1/4,-z+3/4'
'-y+3/4,-x+1/4,z+3/4'
loop_
_atom_site_label
_atom_site_type_symbol
_atom_site_fract_x
_atom_site_fract_y
_atom_site_fract_z
Sr1 Sr 0.000 0.250 0.304
As1 As 0.000 0.250 0.775
As2 As 0.000 0.250 0.839
Rh1 Rh 0.000 0.250 0.125
# Formation enthalpy at 0 K in eV per atom: -0.70
# Volume in A^3/atom: 22.0

***

# 14
# SrAsRh2 PBE-GGA relaxed
data_SrAsRh2
_symmetry_space_group_name_H-M 'F -4 3 m'
_symmetry_Int_Tables_number 216
_symmetry_space_group_name_Hall 'F -4 2 3'
_cell_length_a 6.741
_cell_length_b 6.741
_cell_length_c 6.741
_cell_angle_alpha 90.00
_cell_angle_beta 90.00
_cell_angle_gamma 90.00
loop_
_atom_site_label
_atom_site_type_symbol
_atom_site_fract_x
_atom_site_fract_y
_atom_site_fract_z
Sr1 Sr 0.000 0.000 0.000
As1 As 0.250 0.250 0.250
Rh1 Rh 0.000 0.000 0.500
Rh2 Rh 0.250 0.250 0.750
# Formation enthalpy at 0 K in eV per atom: 0.10
# Volume in A^3/atom: 19.1

***

# 15
# SrAsRh4 PBE-GGA relaxed
data_SrAsRh4
_symmetry_space_group_name_H-M 'F -4 3 m'
_symmetry_Int_Tables_number 216
_symmetry_space_group_name_Hall 'F -4 2 3'
_cell_length_a 7.535
_cell_length_b 7.535
_cell_length_c 7.535
_cell_angle_alpha 90.00
_cell_angle_beta 90.00
_cell_angle_gamma 90.00
loop_
_atom_site_label
_atom_site_type_symbol
_atom_site_fract_x
_atom_site_fract_y
_atom_site_fract_z
Sr1 Sr 0.000 0.000 0.000
As1 As 0.250 0.250 0.750
Rh1 Rh 0.124 0.124 0.376
# Formation enthalpy at 0 K in eV per atom: 0.01
# Volume in A^3/atom: 17.8

***

# 16
# SrAsRh2 PBE-GGA relaxed
data_SrAsRh2
_symmetry_space_group_name_H-M 'R 3 m'
_symmetry_Int_Tables_number 160
_symmetry_space_group_name_Hall 'R 3 -2"'
_cell_length_a 4.3511
_cell_length_b 4.3511
_cell_length_c 15.9362
_cell_angle_alpha 90.00
_cell_angle_beta 90.00
_cell_angle_gamma 120.00
loop_
_atom_site_label
_atom_site_type_symbol
_atom_site_fract_x
_atom_site_fract_y
_atom_site_fract_z
Sr1 Sr 0.0000 0.0000 0.0000
As1 As 0.0000 0.0000 0.2011
Rh1 Rh 0.0000 0.0000 0.4830
Rh2 Rh 0.0000 0.0000 0.8049
# Formation enthalpy at 0 K in eV per atom: -0.47
# Volume in A^3/atom: 21.8

***

# 17
# SrAsRh3 PBE-GGA relaxed
data_SrAsRh3
_symmetry_space_group_name_H-M 'P m -3 m'
_symmetry_Int_Tables_number 221
_symmetry_space_group_name_Hall '-P 4 2 3'
_cell_length_a 4.661
_cell_length_b 4.661
_cell_length_c 4.661
_cell_angle_alpha 90.00
_cell_angle_beta 90.00
_cell_angle_gamma 90.00
loop_
_atom_site_label
_atom_site_type_symbol
_atom_site_fract_x
_atom_site_fract_y
_atom_site_fract_z
Sr1 Sr 0.000 0.000 0.000
As1 As 0.500 0.500 0.500
Rh1 Rh 0.000 0.500 0.500
# Formation enthalpy at 0 K in eV per atom: -0.24
# Volume in A^3/atom: 20.3
# Offset from the most stable computed form in eV/f.u.: 0.00

***

# 18
# SrAsRh2 PBE-GGA relaxed
data_SrAsRh2
_symmetry_space_group_name_H-M 'I -4 2 d'
_symmetry_Int_Tables_number 122
_symmetry_space_group_name_Hall 'I -4 2bw'
_cell_length_a 4.934
_cell_length_b 4.934
_cell_length_c 16.271
_cell_angle_alpha 90.00
_cell_angle_beta 90.00
_cell_angle_gamma 90.00
loop_
_atom_site_label
_atom_site_type_symbol
_atom_site_fract_x
_atom_site_fract_y
_atom_site_fract_z
Sr1 Sr 0.000 0.000 0.000
As1 As 0.000 0.000 0.500
Rh1 Rh 0.069 0.250 0.625
# Formation enthalpy at 0 K in eV per atom: -0.34
# Volume in A^3/atom: 24.8

***

# 19
# SrTa2AsRh PBE-GGA relaxed
data_SrTa2AsRh
_symmetry_space_group_name_H-M 'P 4/m m m'
_symmetry_Int_Tables_number 123
_symmetry_space_group_name_Hall '-P 4 2'
_cell_length_a 4.905
_cell_length_b 4.905
_cell_length_c 5.122
_cell_angle_alpha 90.00
_cell_angle_beta 90.00
_cell_angle_gamma 90.00
loop_
_atom_site_label
_atom_site_type_symbol
_atom_site_fract_x
_atom_site_fract_y
_atom_site_fract_z
Sr1 Sr 0.000 0.000 0.000
Ta1 Ta 0.000 0.500 0.000
As1 As 0.000 0.000 0.500
Rh1 Rh 0.500 0.500 0.500
# Formation enthalpy at 0 K in eV per atom: 2.78
# Volume in A^3/atom: 24.6

***

# 20
# Sr2TbAs3Rh4 PBE-GGA relaxed
data_Sr2TbAs3Rh4
_symmetry_space_group_name_H-M 'P -4 m 2'
_symmetry_Int_Tables_number 115
_cell_length_a 4.229
_cell_length_b 4.229
_cell_length_c 11.289
_cell_angle_alpha 90.00
_cell_angle_beta 90.00
_cell_angle_gamma 90.00
loop_
_symmetry_equiv_pos_as_xyz
'x,y,z'
'y,-x,-z'
'-x,-y,z'
'-y,x,-z'
'-x,y,z'
'-y,-x,-z'
'x,-y,z'
'y,x,-z'
loop_
_atom_site_label
_atom_site_type_symbol
_atom_site_fract_x
_atom_site_fract_y
_atom_site_fract_z
Sr1 Sr 0.000 0.500 0.233
Tb1 Tb 0.000 0.000 0.500
As1 As 0.000 0.500 0.875
As2 As 0.500 0.500 0.500
Rh1 Rh 0.000 0.000 0.000
Rh2 Rh 0.000 0.500 0.657
Rh3 Rh 0.500 0.500 0.000
# Formation enthalpy at 0 K in eV per atom: -0.83
# Volume in A^3/atom: 20.2